# 1
Material: ErMgSc2Ga4
Method: DFT, PBE-GGA
State: relaxed

a b c (Å): 4.7755 4.7755 24.1082
angles (deg): 90.00 90.00 120.00
Space group R-3m (No. 166, hexagonal axes)
Symmetry-distinct sites (fractional):
Er (0.0000, 0.0000, 0.0000)
Mg (0.0000, 0.0000, 0.5000)
Sc (0.0000, 0.0000, 0.2439)
Ga (0.0000, 0.0000, 0.1248)
Ga (0.0000, 0.0000, 0.3772)

Properties
* energy of formation: -477.8 meV/atom


# 2
Material: ErMgGaSe4
Method: DFT, PBE-GGA
State: relaxed

a b c (Å): 7.9242 7.9667 11.2770
angles (deg): 90.00 90.00 90.00
Space group Imma (No. 74)
Symmetry-distinct sites (fractional):
Er (0.2500, 0.2500, 0.2500)
Mg (0.0000, 0.0000, 0.0000)
Ga (0.0000, 0.2500, 0.6177)
Se (0.0000, 0.0020, 0.7533)
Se (0.2371, 0.2500, 0.9998)

Properties
* raw formation energy: -794 kJ/mol of formula units


# 3
Material: ErMgGaSn
Method: DFT, PBE-GGA
State: relaxed

a b c (Å): 4.3081 4.5000 4.5991
angles (deg): 90.00 90.00 90.00
Space group Pmmm (No. 47)
Symmetry-distinct sites (fractional):
Er (0.0000, 0.0000, 0.0000)
Mg (0.0000, 0.5000, 0.5000)
Ga (0.5000, 0.5000, 0.0000)
Sn (0.5000, 0.0000, 0.5000)

Properties
* energy above the most stable polymorph in this dataset: 0 meV/atom
* energy of formation: -459.7 meV/atom


# 4
Material: ErMgGaSn
Method: DFT, PBE-GGA
State: relaxed

a b c (Å): 7.1936 7.1936 7.1936
angles (deg): 90.00 90.00 90.00
Space group F-43m (No. 216)
Symmetry-distinct sites (fractional):
Er (0.0000, 0.0000, 0.0000)
Mg (0.0000, 0.0000, 0.5000)
Ga (0.2500, 0.2500, 0.2500)
Sn (0.2500, 0.2500, 0.7500)

Properties
* energy above the most stable polymorph in this dataset: 165 meV/atom
* energy of formation: -294.9 meV/atom


# 5
Material: ErMg2Zn2Ga2
Method: DFT, PBE-GGA
State: relaxed

a b c (Å): 4.3931 4.3931 24.4112
angles (deg): 90.00 90.00 120.00
Space group R-3m (No. 166, hexagonal axes)
Symmetry-distinct sites (fractional):
Er (0.0000, 0.0000, 0.0000)
Mg (0.0000, 0.0000, 0.1336)
Zn (0.0000, 0.0000, 0.4027)
Ga (0.0000, 0.0000, 0.2573)

Properties
* energy of formation: -324.2 meV/atom


# 6
Material: ErMgZrGa
Method: DFT, PBE-GGA
State: relaxed

a b c (Å): 7.0263 7.0263 7.0263
angles (deg): 90.00 90.00 90.00
Space group F-43m (No. 216)
Symmetry-distinct sites (fractional):
Er (0.0000, 0.0000, 0.0000)
Mg (0.2500, 0.2500, 0.2500)
Zr (0.0000, 0.0000, 0.5000)
Ga (0.2500, 0.2500, 0.7500)

Properties
* energy of formation: -229.3 meV/atom


# 7
Material: Er3MnGa12
Method: DFT, PBE-GGA
State: relaxed

a b c (Å): 4.2028 4.2028 16.6188
angles (deg): 90.00 90.00 90.00
Space group P4/mmm (No. 123)
Symmetry-distinct sites (fractional):
Er (0.0000, 0.0000, 0.0000)
Er (0.0000, 0.0000, 0.2606)
Mn (0.0000, 0.0000, 0.5000)
Ga (0.0000, 0.5000, 0.1296)
Ga (0.0000, 0.5000, 0.3899)
Ga (0.5000, 0.5000, 0.0000)
Ga (0.5000, 0.5000, 0.2531)
Ga (0.5000, 0.5000, 0.5000)

Properties
* energy of formation: -386.8 meV/atom


# 8
Material: ErMnGa
Method: DFT, PBE-GGA
State: relaxed

a b c (Å): 4.4223 4.4223 3.5353
angles (deg): 90.00 90.00 120.00
Space group P-6m2 (No. 187)
Symmetry-distinct sites (fractional):
Er (0.0000, 0.0000, 0.0000)
Mn (0.3333, 0.6667, 0.5000)
Ga (0.6667, 0.3333, 0.5000)

Properties
* energy of formation: -254.6 meV/atom


# 9
Material: Er2Mn3Ga
Method: DFT, PBE-GGA
State: relaxed

a b c (Å): 5.3701 5.3701 8.4237
angles (deg): 90.00 90.00 120.00
Space group P6_3/mmc (No. 194)
Symmetry-distinct sites (fractional):
Er (0.3333, 0.6667, 0.0641)
Mn (0.1755, 0.3510, 0.7500)
Ga (0.0000, 0.0000, 0.0000)

Properties
* energy above the most stable polymorph in this dataset: 0 meV/atom
* energy of formation: -82.3 meV/atom


# 10
Material: Er2MnGa8
Method: DFT, PBE-GGA
State: relaxed

a b c (Å): 4.2239 4.2239 11.2687
angles (deg): 90.00 90.00 90.00
Space group P4/mmm (No. 123)
Symmetry-distinct sites (fractional):
Er (0.0000, 0.0000, 0.1908)
Mn (0.0000, 0.0000, 0.5000)
Ga (0.0000, 0.5000, 0.0000)
Ga (0.0000, 0.5000, 0.3785)
Ga (0.5000, 0.5000, 0.1906)

Properties
* energy of formation: -409.3 meV/atom


no.,final energy (eV/atom),total magnetic moment (μB per cell)
1,-4.344,0.00
2,-4.479,0.00
3,-3.756,0.00
4,-3.592,0.00
5,-2.660,0.00
6,-4.662,0.00
7,-4.086,3.29
8,-5.841,3.18
9,-6.693,14.23
10,-4.274,2.05